# Hf6H2N | Alexandria | PBE-GGA | relaxed
# - calculated total energy (eV/atom) = -8.83
data_Hf6H2N
_chemical_formula_sum 'Hf12 H4 N2'
_space_group_name_H-M_alt 'P 1 21/c 1'
_space_group_IT_number 14
_space_group_name_Hall '-P 2ybc'
_cell_length_a 5.174
_cell_length_b 6.226
_cell_length_c 10.240
_cell_angle_alpha 90.00
_cell_angle_beta 120.28
_cell_angle_gamma 90.00
loop_
_atom_site_label
_atom_site_type_symbol
_atom_site_fract_x
_atom_site_fract_y
_atom_site_fract_z
Hf1 Hf 0.004 0.003 0.233
Hf2 Hf 0.338 0.747 0.090
Hf3 Hf 0.348 0.250 0.077
H1 H 0.237 0.236 0.738
N1 N 0.000 0.000 0.000